Run A
LaScCd6 after structural relaxation. Source: Alexandria via LeMat-Bulk, functional PBE-GGA.

a b c (Å): 5.1104 7.1995 5.1108
angles (deg): 90.00 90.00 90.00
With the nearest neighbours (Å) after each atom.
Space group Pmm2 (No. 25)
One atom of each set of equivalent atoms:
La (0.0000, 0.0000, 0.0000) x1  8 Cd 3.21-3.22
Sc (0.5000, 0.5000, 0.4969) x1  8 Cd 3.04
Cd (0.0000, 0.2709, 0.5004) x2  5 Cd 3.04-3.30, 2 Sc 3.04, 2 La 3.21-3.22
Cd (0.0000, 0.5000, 0.0009) x1  8 Cd 3.04
Cd (0.5000, 0.0000, 0.4983) x1  8 Cd 3.21-3.22
Cd (0.5000, 0.2709, 0.9969) x2  2 Sc 3.04, 5 Cd 3.04-3.30, 2 La 3.21



Run B
LaScCd6 after structural relaxation. Source: Alexandria via LeMat-Bulk, functional PBE-GGA.

a b c (Å): 4.8844 7.2672 10.9189
angles (deg): 90.00 90.00 90.00
With the nearest neighbours (Å) after each atom.
Space group Amm2 (No. 38)
One atom of each set of equivalent atoms:
La (0.0000, 0.0000, 0.0000) x2  10 Cd 3.24-3.35
Sc (0.5000, 0.0000, 0.7293) x2  10 Cd 3.13-3.32
Cd (0.0000, 0.0000, 0.5495) x2  6 Cd 3.04-3.15, 2 Sc 3.13
Cd (0.0000, 0.2195, 0.2694) x4  6 Cd 3.02-3.20, 2 Sc 3.21, 2 La 3.24-3.35
Cd (0.5000, 0.0000, 0.1993) x2  8 Cd 3.02-3.36, 2 La 3.27
Cd (0.5000, 0.2100, 0.4592) x4  7 Cd 3.04-3.36, 2 La 3.26, 2 Sc 3.28-3.32



Which structure is the least stable? The one labeled run B.



Run A
La3ScCd after structural relaxation. Source: Alexandria via LeMat-Bulk, functional PBE-GGA.

a b c (Å): 11.3660 5.2117 10.6967
angles (deg): 90.00 95.00 90.00
With the nearest neighbours (Å) after each atom.
Space group C2/m (No. 12)
One atom of each set of equivalent atoms:
La (0.0476, 0.0000, 0.3607) x4  2 La 3.26-3.62, 1 Cd 3.38, 5 Sc 3.44-3.62
La (0.0820, 0.5000, 0.8717) x4  5 Cd 3.32-3.61, 3 La 3.45-3.59, 1 Sc 3.59
La (0.2389, 0.5000, 0.2427) x4  3 Cd 3.44-3.74, 3 Sc 3.53-3.58, 6 La 3.59-3.74
Sc (0.1491, 0.5000, 0.5501) x4  9 La 3.44-3.62, 3 Sc 3.46-3.69
Cd (0.1231, 0.0000, 0.0622) x4  1 Cd 2.99, 2 La 3.32



Run B
La3ScCd after structural relaxation. Source: Alexandria via LeMat-Bulk, functional PBE-GGA.

a b c (Å): 5.7148 5.7148 5.7148
angles (deg): 90.00 90.00 90.00
With the nearest neighbours (Å) after each atom.
Space group Pm-3m (No. 221)
One atom of each set of equivalent atoms:
La (0.0000, 0.0000, 0.5000) x3  2 Sc 2.86
Sc (0.0000, 0.0000, 0.0000) x1  6 La 2.86
Cd (0.5000, 0.5000, 0.5000) x1  12 La 4.04



Which structure is the least stable? The one labeled run B.



Run A
LaSmScCd after structural relaxation. Source: Alexandria via LeMat-Bulk, functional PBE-GGA.

a b c (Å): 7.7640 7.7640 7.7640
angles (deg): 90.00 90.00 90.00
With the nearest neighbours (Å) after each atom.
Space group F-43m (No. 216)
One atom of each set of equivalent atoms:
La (0.0000, 0.0000, 0.0000) x4  4 Cd 3.36, 4 Sc 3.36
Sm (0.0000, 0.0000, 0.5000) x4  4 Cd 3.36, 4 Sc 3.36
Sc (0.2500, 0.2500, 0.2500) x4  4 La 3.36, 4 Sm 3.36
Cd (0.2500, 0.2500, 0.7500) x4  4 La 3.36, 4 Sm 3.36



Run B
LaSmScCd after structural relaxation. Source: Alexandria via LeMat-Bulk, functional PBE-GGA.

a b c (Å): 3.6381 3.6381 8.7151
angles (deg): 90.00 90.00 90.00
With the nearest neighbours (Å) after each atom.
Space group P4mm (No. 99)
One atom of each set of equivalent atoms:
La (0.0000, 0.0000, 0.0000) x1  4 Sc 3.48, 4 La 3.64, 4 Sm 3.68
Sm (0.5000, 0.5000, 0.6986) x1  4 Cd 3.34, 4 Sm 3.64, 4 La 3.68
Sc (0.5000, 0.5000, 0.2689) x1  4 Cd 3.04
Cd (0.0000, 0.0000, 0.4550) x1  4 Sc 3.04, 4 Sm 3.34



Which structure is the least stable? The one labeled run A.



Run A
LaYScCd after structural relaxation. Source: Alexandria via LeMat-Bulk, functional PBE-GGA.

a b c (Å): 7.7214 7.7214 7.7214
angles (deg): 90.00 90.00 90.00
With the nearest neighbours (Å) after each atom.
Space group F-43m (No. 216)
One atom of each set of equivalent atoms:
La (0.0000, 0.0000, 0.0000) x4  4 Cd 3.34, 4 Sc 3.34
Y (0.0000, 0.0000, 0.5000) x4  4 Sc 3.34, 4 Cd 3.34
Sc (0.2500, 0.2500, 0.2500) x4  4 La 3.34, 4 Y 3.34
Cd (0.2500, 0.2500, 0.7500) x4  4 Y 3.34, 4 La 3.34



Run B
LaYScCd after structural relaxation. Source: Alexandria via LeMat-Bulk, functional PBE-GGA.

a b c (Å): 3.6066 3.6066 8.7547
angles (deg): 90.00 90.00 90.00
With the nearest neighbours (Å) after each atom.
Space group P4mm (No. 99)
One atom of each set of equivalent atoms:
La (0.0000, 0.0000, 0.0000) x1  4 Sc 3.49, 4 La 3.61, 4 Y 3.68
Y (0.5000, 0.5000, 0.6977) x1  4 Cd 3.27, 4 Y 3.61
Sc (0.5000, 0.5000, 0.2722) x1  4 Cd 3.05
Cd (0.0000, 0.0000, 0.4631) x1  4 Sc 3.05, 4 Y 3.27



Which structure is the least stable? The one labeled run A.



Run A
LaCd3Se after structural relaxation. Source: Alexandria via LeMat-Bulk, functional PBE-GGA.

a b c (Å): 6.1179 6.1179 6.1179
angles (deg): 90.00 90.00 90.00
With the nearest neighbours (Å) after each atom.
Space group Pm-3m (No. 221)
One atom of each set of equivalent atoms:
La (0.0000, 0.0000, 0.0000) x1  6 Cd 3.06
Cd (0.0000, 0.0000, 0.5000) x3  2 La 3.06
Se (0.5000, 0.5000, 0.5000) x1  12 Cd 4.33



Run B
LaCd3Se after structural relaxation. Source: Alexandria via LeMat-Bulk, functional PBE-GGA.

a b c (Å): 5.3706 5.3706 5.3706
angles (deg): 90.00 90.00 90.00
With the nearest neighbours (Å) after each atom.
Space group Pm-3m (No. 221)
One atom of each set of equivalent atoms:
La (0.0000, 0.0000, 0.0000) x1  12 Cd 3.80
Cd (0.0000, 0.5000, 0.5000) x3  2 Se 2.69
Se (0.5000, 0.5000, 0.5000) x1  6 Cd 2.69



Which structure is the least stable? The one labeled run A.



Run A
LaCdSi3 after structural relaxation. Source: Alexandria via LeMat-Bulk, functional PBE-GGA.

a b c (Å): 5.5785 5.5785 5.5785
angles (deg): 90.00 90.00 90.00
With the nearest neighbours (Å) after each atom.
Space group Pm-3m (No. 221)
One atom of each set of equivalent atoms:
La (0.0000, 0.0000, 0.0000) x1  6 Si 2.79
Cd (0.5000, 0.5000, 0.5000) x1  12 Si 3.94
Si (0.0000, 0.0000, 0.5000) x3  2 La 2.79



Run B
LaCdSi3 after structural relaxation. Source: Alexandria via LeMat-Bulk, functional PBE-GGA.

a b c (Å): 5.0122 5.0122 5.0122
angles (deg): 90.00 90.00 90.00
With the nearest neighbours (Å) after each atom.
Space group Pm-3m (No. 221)
One atom of each set of equivalent atoms:
La (0.0000, 0.0000, 0.0000) x1  12 Si 3.54
Cd (0.5000, 0.5000, 0.5000) x1  6 Si 2.51
Si (0.0000, 0.5000, 0.5000) x3  2 Cd 2.51



Which structure is the least stable? The one labeled run A.



Run A
La3CdSi after structural relaxation. Source: Alexandria via LeMat-Bulk, functional PBE-GGA.

a b c (Å): 9.8147 8.2138 8.2437
angles (deg): 90.00 111.51 90.00
With the nearest neighbours (Å) after each atom.
Space group P2_1/c (No. 14)
One atom of each set of equivalent atoms:
La (0.0706, 0.0136, 0.2082) x4  4 Cd 3.13-3.44, 2 La 3.20-3.51, 1 Si 3.26
La (0.2988, 0.1879, 0.6026) x4  3 Si 3.07-3.18
La (0.3655, 0.6769, 0.4752) x4  3 Si 3.15-3.27, 1 Cd 3.28
Cd (0.0903, 0.6609, 0.0538) x4  1 Cd 3.12, 6 La 3.13-3.46
Si (0.4266, 0.0187, 0.3412) x4  1 Si 2.50



Run B
La3CdSi after structural relaxation. Source: Alexandria via LeMat-Bulk, functional PBE-GGA.

a b c (Å): 5.7148 5.7148 5.7148
angles (deg): 90.00 90.00 90.00
With the nearest neighbours (Å) after each atom.
Space group Pm-3m (No. 221)
One atom of each set of equivalent atoms:
La (0.0000, 0.0000, 0.5000) x3  2 Si 2.86
Cd (0.5000, 0.5000, 0.5000) x1  12 La 4.04
Si (0.0000, 0.0000, 0.0000) x1  6 La 2.86



Which structure is the least stable? The one labeled run B.



Run A
La3Sm2Cd3 after structural relaxation. Source: Alexandria via LeMat-Bulk, functional PBE-GGA.

a b c (Å): 8.9750 8.9750 3.4519
angles (deg): 90.00 90.00 120.00
With the nearest neighbours (Å) after each atom.
Space group P-62m (No. 189)
One atom of each set of equivalent atoms:
La (0.0000, 0.7589, 0.0000) x3  4 La 3.45-3.75, 2 Sm 3.48, 6 Cd 3.52-3.73
Sm (0.3333, 0.6667, 0.0000) x2  6 Cd 3.26, 2 Sm 3.45, 3 La 3.48
Cd (0.0000, 0.3904, 0.5000) x3  4 Sm 3.26, 2 Cd 3.45, 4 La 3.52



Run B
La3Sm2Cd3 after structural relaxation. Source: Alexandria via LeMat-Bulk, functional PBE-GGA.

a b c (Å): 3.8653 5.6372 22.9625
angles (deg): 90.00 90.00 90.00
With the nearest neighbours (Å) after each atom.
Space group Immm (No. 71)
One atom of each set of equivalent atoms:
La (0.0000, 0.0000, 0.0000) x2  8 Cd 3.39-3.42
La (0.0000, 0.5000, 0.1230) x4  6 Cd 3.42, 4 Sm 3.79-3.81
Sm (0.0000, 0.0000, 0.2349) x4  2 Cd 3.24, 4 Sm 3.49
Cd (0.0000, 0.0000, 0.5000) x2  8 La 3.42
Cd (0.0000, 0.5000, 0.3785) x4  2 Sm 3.24, 6 La 3.39-3.42



Which structure is the least stable? The one labeled run A.



Run A
La4Sm2Cd after structural relaxation. Source: Alexandria via LeMat-Bulk, functional PBE-GGA.

a b c (Å): 3.7005 35.5004 3.6663
angles (deg): 90.00 90.00 90.00
With the nearest neighbours (Å) after each atom.
Space group Cmmm (No. 65)
One atom of each set of equivalent atoms:
La (0.0000, 0.0620, 0.0000) x4  4 Cd 3.41, 8 La 3.67-3.73
La (0.0000, 0.3627, 0.5000) x4  4 Sm 3.61, 8 La 3.67-3.73
Sm (0.0000, 0.2076, 0.0000) x4  6 Sm 3.53-3.70, 4 La 3.61
Cd (0.0000, 0.5000, 0.5000) x2  8 La 3.41, 4 Cd 3.67-3.70



Run B
La4Sm2Cd after structural relaxation. Source: Alexandria via LeMat-Bulk, functional PBE-GGA.

a b c (Å): 17.1083 3.6153 8.8164
angles (deg): 90.00 117.19 90.00
With the nearest neighbours (Å) after each atom.
Space group C2/m (No. 12)
One atom of each set of equivalent atoms:
La (0.0818, 0.0000, 0.2017) x4  5 La 3.37-3.72, 3 Sm 3.48-3.56, 1 Cd 3.50
La (0.1296, 0.5000, 0.8845) x4  2 Cd 3.58, 6 La 3.62-3.80, 3 Sm 3.62-3.80
Sm (0.2174, 0.0000, 0.6397) x4  1 Cd 3.34, 5 La 3.48-3.62, 4 Sm 3.62
Cd (0.0000, 0.0000, 0.5000) x2  2 Sm 3.34, 6 La 3.50-3.58, 2 Cd 3.62



Which structure is the least stable? The one labeled run B.



Run A
La3Sm2Cd after structural relaxation. Source: Alexandria via LeMat-Bulk, functional PBE-GGA.

a b c (Å): 3.7525 3.7525 14.4858
angles (deg): 90.00 90.00 90.00
With the nearest neighbours (Å) after each atom.
Space group P4/mmm (No. 123)
One atom of each set of equivalent atoms:
La (0.0000, 0.0000, 0.0000) x1  8 Sm 3.67, 4 La 3.75
La (0.0000, 0.0000, 0.3531) x2  4 Cd 3.40, 4 Sm 3.70, 4 La 3.75
Sm (0.5000, 0.5000, 0.1753) x2  8 La 3.67-3.70, 4 Sm 3.75
Cd (0.5000, 0.5000, 0.5000) x1  8 La 3.40, 4 Cd 3.75



Run B
La3Sm2Cd after structural relaxation. Source: Alexandria via LeMat-Bulk, functional PBE-GGA.

a b c (Å): 10.7128 6.2900 11.6402
angles (deg): 90.00 90.00 90.00
With the nearest neighbours (Å) after each atom.
Space group Cmcm (No. 63)
One atom of each set of equivalent atoms:
La (0.0000, 0.0000, 0.0000) x4  6 La 3.56-3.69, 2 Cd 3.56, 4 Sm 3.62
La (0.1553, 0.5000, 0.0000) x8  4 La 3.33-3.69, 2 Cd 3.53, 4 Sm 3.56-3.62
Sm (0.1723, 0.1750, 0.2500) x8  3 Cd 3.51-3.65, 3 Sm 3.56-3.69, 6 La 3.56-3.62
Cd (0.0000, 0.3261, 0.7500) x4  6 Sm 3.51-3.65, 6 La 3.53-3.56



Which structure is the least stable? The one labeled run B.



Run A
LaSm2Cd after structural relaxation. Source: Alexandria via LeMat-Bulk, functional PBE-GGA.

a b c (Å): 4.9725 4.9725 4.9999
angles (deg): 90.00 90.00 90.00
With the nearest neighbours (Å) after each atom.
Space group P4/mmm (No. 123)
One atom of each set of equivalent atoms:
La (0.0000, 0.0000, 0.0000) x1  4 Cd 3.52, 8 Sm 3.53
Sm (0.0000, 0.5000, 0.5000) x2  4 Sm 3.52, 4 Cd 3.53, 4 La 3.53
Cd (0.5000, 0.5000, 0.0000) x1  4 La 3.52, 8 Sm 3.53



Run B
LaSm2Cd after structural relaxation. Source: Alexandria via LeMat-Bulk, functional PBE-GGA.

a b c (Å): 7.8511 7.8511 7.8511
angles (deg): 90.00 90.00 90.00
With the nearest neighbours (Å) after each atom.
Space group Fm-3m (No. 225)
One atom of each set of equivalent atoms:
La (0.0000, 0.0000, 0.0000) x4  8 Sm 3.40
Sm (0.2500, 0.2500, 0.2500) x8  4 Cd 3.40, 4 La 3.40
Cd (0.0000, 0.0000, 0.5000) x4  8 Sm 3.40



Run C
LaSm2Cd after structural relaxation. Source: Alexandria via LeMat-Bulk, functional PBE-GGA.

a b c (Å): 3.7529 3.7529 8.9324
angles (deg): 90.00 90.00 90.00
With the nearest neighbours (Å) after each atom.
Space group P4/mmm (No. 123)
One atom of each set of equivalent atoms:
La (0.0000, 0.0000, 0.0000) x1  8 Sm 3.65, 4 La 3.75
Sm (0.5000, 0.5000, 0.2807) x2  4 Cd 3.30, 4 La 3.65
Cd (0.0000, 0.0000, 0.5000) x1  8 Sm 3.30



Run D
LaSm2Cd after structural relaxation. Source: Alexandria via LeMat-Bulk, functional PBE-GGA.

a b c (Å): 3.6784 3.6784 33.4424
angles (deg): 90.00 90.00 120.00
With the nearest neighbours (Å) after each atom.
Space group R3m (No. 160, hexagonal axes)
One atom of each set of equivalent atoms:
La (0.0000, 0.0000, 0.0000) x3  6 La 3.68, 6 Sm 3.71-3.73
Sm (0.0000, 0.0000, 0.5756) x3  3 Cd 3.30, 6 Sm 3.68
Sm (0.0000, 0.0000, 0.7585) x3  3 Cd 3.29, 6 Sm 3.68
Cd (0.0000, 0.0000, 0.1668) x3  6 Sm 3.29-3.30, 6 Cd 3.68



Which structure is the least stable? The one labeled run B.



Run A
La2Sm3Cd after structural relaxation. Source: Alexandria via LeMat-Bulk, functional PBE-GGA.

a b c (Å): 6.4689 10.2769 5.8942
angles (deg): 90.00 90.00 90.00
With the nearest neighbours (Å) after each atom.
Space group Imm2 (No. 44)
One atom of each set of equivalent atoms:
La (0.0000, 0.1655, 0.0000) x4  6 Sm 3.24-3.48, 1 La 3.40, 1 Cd 3.44
Sm (0.0000, 0.0000, 0.4999) x2  2 Cd 3.23, 4 La 3.40, 2 Sm 3.54
Sm (0.0000, 0.3443, 0.4990) x4  2 Sm 3.20-3.54, 4 La 3.24-3.48, 2 Cd 3.35
Cd (0.0000, 0.5000, 0.9989) x2  6 Sm 3.23-3.35, 2 La 3.44



Run B
La2Sm3Cd after structural relaxation. Source: Alexandria via LeMat-Bulk, functional PBE-GGA.

a b c (Å): 4.9812 15.3511 5.1009
angles (deg): 90.00 90.00 90.00
With the nearest neighbours (Å) after each atom.
Space group Cmmm (No. 65)
One atom of each set of equivalent atoms:
La (0.0000, 0.1649, 0.0000) x4  2 Cd 3.55, 8 Sm 3.56-3.66, 2 La 3.61
Sm (0.0000, 0.0000, 0.5000) x2  4 Sm 3.54, 4 Cd 3.56, 4 La 3.59
Sm (0.0000, 0.3361, 0.5000) x4  4 Sm 3.54-3.63, 6 La 3.56-3.66, 2 Cd 3.58
Cd (0.0000, 0.5000, 0.0000) x2  4 La 3.55, 8 Sm 3.56-3.58



Which structure is the least stable? The one labeled run A.